(1)
Na2Li3Tl2: optimized geometry, PBE.

## Properties
energy above the lowest structure with this stoichiometry: 37 meV per atom
symmetry: No. 199

Structure (extended XYZ):
```
14
Lattice="-4.393 4.393 4.393 4.393 -4.393 4.393 4.393 4.393 -4.393" Properties=species:S:1:pos:R:3 pbc="T T T"
Na 5.828 -1.435 1.435
Na 1.435 5.828 -1.435
Na 2.957 2.957 2.957
Na -1.435 1.435 5.828
Li 6.589 1.769 0.000
Li 2.623 0.000 2.196
Li 2.196 2.623 0.000
Li 0.000 2.196 2.623
Li 1.769 0.000 6.589
Li 0.000 6.589 1.769
Tl 4.015 0.378 -0.378
Tl 0.378 0.378 0.378
Tl 0.378 -0.378 4.015
Tl -0.378 4.015 0.378
```

---

(2)
Na4LiTl: optimized geometry, PBE.

## Properties
energy above the lowest structure with this stoichiometry: 113 meV per atom
symmetry: No. 216

Structure (extended XYZ):
```
6
Lattice="0.000 4.530 4.530 4.530 0.000 4.530 4.530 4.530 0.000" Properties=species:S:1:pos:R:3 pbc="T T T"
Na 1.129 1.129 1.129
Na 3.402 3.402 1.129
Na 3.402 1.129 3.402
Na 1.129 3.402 3.402
Li 4.530 4.530 4.530
Tl 6.795 6.795 6.795
```

---

(3)
NaLi2Tl: optimized geometry, PBE.

## Properties
energy above the lowest structure with this stoichiometry: 190 meV per atom
symmetry: No. 71

Structure (extended XYZ):
```
8
Lattice="3.272 0.000 0.000 0.000 5.502 0.000 0.000 0.000 11.670" Properties=species:S:1:pos:R:3 pbc="T T T"
Na 0.000 0.000 0.000
Na 1.636 2.751 5.835
Li 0.000 0.000 3.045
Li 0.000 0.000 8.625
Li 1.636 2.751 2.790
Li 1.636 2.751 8.879
Tl 0.000 0.000 5.835
Tl 1.636 2.751 0.000
```

---

(4)
NaLi4Tl7: optimized geometry, PBE.

## Properties
symmetry: No. 12

Structure (extended XYZ):
```
12
Lattice="7.096 -2.791 0.000 7.096 2.791 0.000 -5.213 0.000 7.706" Properties=species:S:1:pos:R:3 pbc="T T T"
Na 0.000 0.000 0.000
Li 1.031 0.000 5.037
Li 5.037 0.000 2.143
Li 3.941 0.000 5.563
Li 7.947 0.000 2.669
Tl -1.156 0.000 3.112
Tl -1.557 0.000 6.823
Tl 2.195 0.000 2.424
Tl 7.096 0.000 0.000
Tl 6.783 0.000 5.282
Tl 10.536 0.000 0.883
Tl 10.134 0.000 4.594
```

---

(5)
Na2Li3Tl2: optimized geometry, PBE.

## Properties
energy above the lowest structure with this stoichiometry: 0 meV per atom
symmetry: No. 2

Structure (extended XYZ):
```
7
Lattice="5.174 0.000 0.000 -0.007 5.877 0.000 -2.563 -0.610 5.356" Properties=species:S:1:pos:R:3 pbc="T T T"
Na 0.000 1.558 0.797
Na 2.604 3.709 4.559
Li 0.016 1.855 3.749
Li 2.587 0.000 0.000
Li 2.588 3.412 1.607
Tl 0.005 4.578 2.514
Tl 2.599 0.689 2.842
```

---

(6)
Na5Li2Tl5: optimized geometry, PBE.

## Properties
symmetry: No. 12

Structure (extended XYZ):
```
12
Lattice="7.336 -2.499 0.000 7.336 2.499 0.000 -4.889 0.000 8.622" Properties=species:S:1:pos:R:3 pbc="T T T"
Na 0.000 0.000 0.000
Na -2.386 0.000 6.526
Na 0.066 0.000 4.280
Na 9.717 0.000 4.342
Na 12.168 0.000 2.096
Li 0.022 0.000 8.589
Li 9.760 0.000 0.033
Tl 2.551 0.000 1.862
Tl 2.400 0.000 6.692
Tl 4.891 0.000 4.311
Tl 7.382 0.000 1.930
Tl 7.231 0.000 6.760
```

---

(7)
NaLi4Tl: optimized geometry, PBE.

## Properties
energy above the lowest structure with this stoichiometry: 17 meV per atom
symmetry: No. 1

Structure (extended XYZ):
```
6
Lattice="3.695 0.000 0.000 0.000 4.830 0.000 -1.829 -0.005 7.266" Properties=species:S:1:pos:R:3 pbc="T T T"
Na 0.000 0.000 0.000
Li 0.017 2.405 2.411
Li 0.014 4.822 4.739
Li 0.022 2.410 7.007
Li 1.862 4.819 2.598
Tl 1.865 2.408 4.659
```

---

(8)
Na2Li2Tl3: optimized geometry, PBE.

## Properties
symmetry: No. 12

Structure (extended XYZ):
```
14
Lattice="11.176 0.000 0.000 0.000 3.805 0.000 -0.861 0.000 8.259" Properties=species:S:1:pos:R:3 pbc="T T T"
Na 0.736 0.000 1.744
Na 3.990 1.902 6.515
Na 6.325 1.902 1.744
Na 9.579 0.000 6.515
Li 1.653 0.000 5.122
Li 3.074 1.902 3.138
Li 7.241 1.902 5.122
Li 8.662 0.000 3.138
Tl -0.431 1.902 4.130
Tl 0.878 1.902 7.460
Tl 3.849 0.000 0.799
Tl 5.157 0.000 4.130
Tl 6.466 0.000 7.460
Tl 9.437 1.902 0.799
```

---

(9)
NaLi4Tl: optimized geometry, PBE.

## Properties
energy above the lowest structure with this stoichiometry: 66 meV per atom
symmetry: No. 216

Structure (extended XYZ):
```
6
Lattice="0.000 3.991 3.991 3.991 0.000 3.991 3.991 3.991 0.000" Properties=species:S:1:pos:R:3 pbc="T T T"
Na 0.000 0.000 0.000
Li 4.977 3.005 3.005
Li 3.005 4.977 3.005
Li 3.005 3.005 4.977
Li 4.977 4.977 4.977
Tl 1.996 1.996 1.996
```

---

(10)
Na12Li2Tl: optimized geometry, PBE.

## Properties
symmetry: No. 125

Structure (extended XYZ):
```
30
Lattice="6.697 0.000 0.000 0.000 6.697 0.000 0.000 0.000 24.559" Properties=species:S:1:pos:R:3 pbc="T T T"
Na 6.697 0.000 2.168
Na 0.000 6.697 22.391
Na 0.000 3.349 2.168
Na 6.697 3.349 22.391
Na 0.471 3.819 10.654
Na 0.471 6.226 13.905
Na 1.674 1.674 4.854
Na 1.674 1.674 8.022
Na 1.674 1.674 16.538
Na 1.674 1.674 19.706
Na 2.878 3.819 13.905
Na 2.878 6.226 10.654
Na 3.349 6.697 2.168
Na 3.349 0.000 22.391
Na 3.349 3.349 2.168
Na 3.349 3.349 22.391
Na 3.819 0.471 13.905
Na 3.819 2.878 10.654
Na 5.023 5.023 4.854
Na 5.023 5.023 8.022
Na 5.023 5.023 16.538
Na 5.023 5.023 19.706
Na 6.226 0.471 10.654
Na 6.226 2.878 13.905
Li 1.674 5.023 6.153
Li 1.674 5.023 18.406
Li 5.023 1.674 6.153
Li 5.023 1.674 18.406
Tl 1.674 5.023 0.000
Tl 5.023 1.674 0.000
```

---

(11)
NaLi14Tl: optimized geometry, PBE.

## Properties
symmetry: No. 123

Structure (extended XYZ):
```
16
Lattice="6.223 0.000 0.000 0.000 6.223 0.000 0.000 0.000 8.422" Properties=species:S:1:pos:R:3 pbc="T T T"
Na 0.000 0.000 0.000
Li 0.000 0.000 4.211
Li 0.000 3.111 0.000
Li 0.000 3.111 4.211
Li 1.631 1.631 2.137
Li 1.631 1.631 6.285
Li 1.631 4.592 2.137
Li 1.631 4.592 6.285
Li 3.111 0.000 0.000
Li 3.111 0.000 4.211
Li 3.111 3.111 4.211
Li 4.592 1.631 2.137
Li 4.592 1.631 6.285
Li 4.592 4.592 2.137
Li 4.592 4.592 6.285
Tl 3.111 3.111 0.000
```

---

(12)
Na2LiTl2: optimized geometry, PBE.

## Properties
energy above the lowest structure with this stoichiometry: 32 meV per atom
symmetry: No. 71

Structure (extended XYZ):
```
10
Lattice="3.579 0.000 0.000 0.000 7.489 0.000 0.000 0.000 10.279" Properties=species:S:1:pos:R:3 pbc="T T T"
Na 0.000 0.000 2.402
Na 0.000 0.000 7.877
Na 1.789 3.744 2.738
Na 1.789 3.744 7.541
Li 0.000 3.744 0.000
Li 1.789 0.000 5.140
Tl 0.000 2.199 5.140
Tl 0.000 5.289 5.140
Tl 1.789 1.545 0.000
Tl 1.789 5.944 0.000
```

---

(13)
Na3Li2Tl2: optimized geometry, PBE.

## Properties
energy above the lowest structure with this stoichiometry: 0 meV per atom
symmetry: No. 12

Structure (extended XYZ):
```
14
Lattice="8.997 0.000 0.000 0.000 5.225 0.000 -3.026 0.000 7.394" Properties=species:S:1:pos:R:3 pbc="T T T"
Na 0.000 0.000 0.000
Na -0.008 0.000 3.271
Na 1.479 2.612 4.124
Na 4.498 2.612 0.000
Na 4.491 2.612 3.271
Na 5.978 0.000 4.124
Li 1.491 2.612 0.952
Li -0.019 0.000 6.442
Li 5.990 0.000 0.952
Li 4.479 2.612 6.442
Tl -1.529 2.612 5.387
Tl 3.001 0.000 2.008
Tl 2.969 0.000 5.387
Tl 7.500 2.612 2.008
```

---

(14)
NaLi12Tl6: optimized geometry, PBE.

## Properties
symmetry: No. 148

Structure (extended XYZ):
```
19
Lattice="6.366 3.675 2.839 -6.366 3.675 2.839 0.000 -7.351 2.839" Properties=species:S:1:pos:R:3 pbc="T T T"
Na 0.000 0.000 0.000
Li -0.832 -4.496 3.575
Li -4.310 -1.527 4.940
Li -1.703 -1.817 3.478
Li -3.477 2.969 3.575
Li -2.425 0.567 5.037
Li -0.722 2.383 3.478
Li 0.722 -2.383 5.037
Li 2.425 -0.567 3.478
Li 3.477 -2.969 4.940
Li 1.703 1.817 5.037
Li 4.310 1.527 3.575
Li 0.833 4.496 4.940
Tl -2.616 0.473 2.134
Tl 0.899 -2.502 2.134
Tl 1.718 2.029 2.134
Tl -1.718 -2.029 6.381
Tl -0.899 2.502 6.381
Tl 2.616 -0.473 6.381
```

---

(15)
NaLiTl: optimized geometry, PBE.

## Properties
energy above the lowest structure with this stoichiometry: 0 meV per atom
symmetry: No. 12

Structure (extended XYZ):
```
12
Lattice="15.499 0.000 0.000 0.000 3.849 0.000 -0.018 0.000 4.853" Properties=species:S:1:pos:R:3 pbc="T T T"
Na 3.678 0.000 1.213
Na 4.054 1.925 3.640
Na 11.428 1.925 1.213
Na 11.803 0.000 3.640
Li 0.995 1.925 1.212
Li 6.737 0.000 3.641
Li 8.744 0.000 1.212
Li 14.487 1.925 3.641
Tl 1.267 0.000 3.639
Tl 6.464 1.925 1.214
Tl 9.017 1.925 3.639
Tl 14.214 0.000 1.214
```

---

(16)
Na2LiTl3: optimized geometry, PBE.

## Properties
energy above the lowest structure with this stoichiometry: 0 meV per atom
symmetry: No. 10

Structure (extended XYZ):
```
12
Lattice="5.076 0.000 0.000 0.000 8.007 0.000 -2.508 0.000 7.655" Properties=species:S:1:pos:R:3 pbc="T T T"
Na 0.000 0.000 0.000
Na 0.000 4.004 0.000
Na 0.022 0.000 5.116
Na 2.546 0.000 2.539
Li 0.022 4.004 5.165
Li 2.546 4.004 2.490
Tl 0.006 2.251 2.683
Tl 0.006 5.756 2.683
Tl 2.538 2.115 0.000
Tl 2.538 5.892 0.000
Tl 2.562 2.251 4.972
Tl 2.562 5.756 4.972
```

---

(17)
NaLi4Tl: optimized geometry, PBE.

## Properties
energy above the lowest structure with this stoichiometry: 0 meV per atom
symmetry: No. 65

Structure (extended XYZ):
```
12
Lattice="5.127 0.000 0.000 0.000 9.660 0.000 0.000 0.000 5.084" Properties=species:S:1:pos:R:3 pbc="T T T"
Na 0.000 0.000 0.000
Na 2.563 4.830 0.000
Li 0.000 1.720 2.542
Li 0.000 3.306 0.000
Li 0.000 6.354 0.000
Li 0.000 7.940 2.542
Li 2.563 1.524 0.000
Li 2.563 3.110 2.542
Li 2.563 6.550 2.542
Li 2.563 8.136 0.000
Tl 0.000 4.830 2.542
Tl 2.563 0.000 2.542
```

---

(18)
Na2LiTl4: optimized geometry, PBE.

## Properties
energy above the lowest structure with this stoichiometry: 83 meV per atom
symmetry: No. 65

Structure (extended XYZ):
```
14
Lattice="5.978 0.000 0.000 0.000 15.687 0.000 0.000 0.000 5.062" Properties=species:S:1:pos:R:3 pbc="T T T"
Na 0.000 2.455 0.000
Na 0.000 13.232 0.000
Na 2.989 5.388 0.000
Na 2.989 10.299 0.000
Li 0.000 7.844 2.531
Li 2.989 0.000 2.531
Tl 0.000 4.663 2.531
Tl 0.000 6.370 0.000
Tl 0.000 9.317 0.000
Tl 0.000 11.024 2.531
Tl 2.989 1.474 0.000
Tl 2.989 3.181 2.531
Tl 2.989 12.506 2.531
Tl 2.989 14.214 0.000
```

---

(19)
Na2Li3Tl5: optimized geometry, PBE.

## Properties
symmetry: No. 15

Structure (extended XYZ):
```
20
Lattice="5.709 -7.110 0.000 5.709 7.110 0.000 -0.811 0.000 6.161" Properties=species:S:1:pos:R:3 pbc="T T T"
Na 3.560 3.820 5.532
Na 6.641 3.820 3.710
Na 3.966 -3.820 2.451
Na 7.047 -3.820 0.630
Li 1.222 1.974 3.660
Li 1.628 -1.974 0.579
Li 5.101 0.262 4.621
Li 5.506 -0.262 1.540
Li 8.979 1.974 5.582
Li 9.385 -1.974 2.501
Tl 5.101 6.667 4.621
Tl 2.364 0.674 5.956
Tl 4.099 2.276 2.578
Tl 2.769 -0.674 2.875
Tl 6.913 2.276 0.502
Tl 3.694 -2.276 5.659
Tl 7.838 0.674 3.286
Tl 6.508 -2.276 3.583
Tl 8.243 -0.674 0.206
Tl 5.506 -6.667 1.540
```

---

(20)
NaLiTl3: optimized geometry, PBE.

## Properties
energy above the lowest structure with this stoichiometry: 73 meV per atom
symmetry: No. 221

Structure (extended XYZ):
```
5
Lattice="5.238 0.000 0.000 0.000 5.238 0.000 0.000 0.000 5.238" Properties=species:S:1:pos:R:3 pbc="T T T"
Na 0.000 0.000 0.000
Li 2.619 2.619 2.619
Tl 0.000 2.619 2.619
Tl 2.619 0.000 2.619
Tl 2.619 2.619 0.000
```

---

(21)
Na3LiTl: optimized geometry, PBE.

## Properties
energy above the lowest structure with this stoichiometry: 0 meV per atom
symmetry: No. 13

Structure (extended XYZ):
```
20
Lattice="8.511 0.000 0.000 0.000 6.730 0.000 -3.011 0.000 9.875" Properties=species:S:1:pos:R:3 pbc="T T T"
Na -1.399 1.531 4.917
Na -2.904 5.200 9.855
Na -0.574 3.304 7.875
Na 0.931 3.427 2.938
Na 3.153 1.878 0.884
Na 1.648 4.853 5.822
Na 3.852 1.878 4.053
Na 2.347 4.853 8.991
Na 4.569 3.304 6.937
Na 6.074 3.427 2.000
Na 8.404 1.531 0.020
Na 6.899 5.200 4.958
Li 1.548 1.151 6.001
Li 3.053 5.579 1.064
Li 2.447 1.151 8.811
Li 3.952 5.579 3.874
Tl 1.006 0.026 3.032
Tl -0.499 6.704 7.970
Tl 5.999 0.026 1.905
Tl 4.494 6.704 6.843
```

---

(22)
NaLi3Tl4: optimized geometry, PBE.

## Properties
symmetry: No. 166

Structure (extended XYZ):
```
8
Lattice="2.527 1.459 8.272 -2.527 1.459 8.272 0.000 -2.917 8.272" Properties=species:S:1:pos:R:3 pbc="T T T"
Na 0.000 0.000 0.000
Li 0.000 0.000 6.201
Li 0.000 0.000 12.408
Li 0.000 0.000 18.615
Tl 0.000 0.000 3.200
Tl 0.000 0.000 9.431
Tl 0.000 0.000 15.385
Tl 0.000 0.000 21.616
```

---

| no. | energy relative to the elements (eV/atom) | total energy (eV/atom) |
| --- | --- | --- |
| 1 | -0.08 | -1.957 |
| 2 | 0.09 | -1.507 |
| 3 | 0.04 | -1.835 |
| 4 | -0.06 | -2.190 |
| 5 | -0.12 | -1.994 |
| 6 | -0.11 | -1.968 |
| 7 | -0.09 | -1.977 |
| 8 | -0.12 | -2.063 |
| 9 | -0.04 | -1.928 |
| 10 | 0.11 | -1.357 |
| 11 | -0.04 | -1.949 |
| 12 | -0.10 | -1.952 |
| 13 | -0.11 | -1.899 |
| 14 | -0.15 | -2.171 |
| 15 | -0.13 | -1.995 |
| 16 | -0.13 | -2.073 |
| 17 | -0.10 | -1.994 |
| 18 | 0.00 | -1.998 |
| 19 | -0.14 | -2.158 |
| 20 | 0.00 | -2.067 |
| 21 | -0.05 | -1.693 |
| 22 | -0.18 | -2.241 |